[1]
Material: Cu4Te5I
Method: DFT, PBE
State: optimized geometry

Summary:
Space group: Pmmn, No. 59
Spin magnetization, μB per formula unit: 0.00
E_form (uncorrected), kJ/mol of atoms: 0.70

Lattice parameters (Å, degrees): 7.3630 8.0540 9.4438 90.00 90.00 90.00
Sites, in units of the cell vectors:
Cu 0.9551 0.5000 0.7837
Cu 0.4947 0.7346 0.0000
Cu 0.0449 0.0000 0.7163
Te 0.1923 0.7430 0.1496
Cu 0.9551 0.5000 0.2163
Cu 0.5053 0.2346 0.5000
Te 0.8077 0.2430 0.6496
I 0.6848 0.0000 0.0000
Cu 0.4947 0.2654 0.0000
Te 0.7218 0.5000 0.0000
Cu 0.0449 0.0000 0.2837
Te 0.8077 0.7570 0.6496
Cu 0.5053 0.7654 0.5000
Te 0.8077 0.7570 0.3504
Te 0.1923 0.2570 0.1496
Te 0.1923 0.2570 0.8504
Te 0.8077 0.2430 0.3504
Te 0.1923 0.7430 0.8504
Te 0.2782 0.0000 0.5000
I 0.3152 0.5000 0.5000

[2]
Material: MgP2PdCl
Method: DFT, PBE
State: optimized geometry

Summary:
Space group: P4/mmm, No. 123
Spin magnetization, μB per formula unit: 0.00
Relative energy among the computed polymorphs, meV per atom: 370
E_form (uncorrected), kJ/mol of atoms: 62.89

Lattice parameters (Å, degrees): 4.8396 4.8396 4.6570 90.00 90.00 90.00
Sites, in units of the cell vectors:
Pd 0.5000 0.5000 0.5000
Mg 0.0000 0.0000 0.0000
P 0.0000 0.5000 0.0000
Cl 0.0000 0.0000 0.5000
P 0.5000 0.0000 0.0000

[3]
Material: ZnGa2Si2Pd5
Method: DFT, PBE
State: optimized geometry

Summary:
Space group: P4/mbm, No. 127
Spin magnetization, μB per formula unit: 0.00
E_form (uncorrected), kJ/mol of atoms: -40.96

Lattice parameters (Å, degrees): 3.1566 9.8815 9.8815 90.00 90.00 90.00
Sites, in units of the cell vectors:
Si 0.0000 0.1470 0.6470
Pd 0.5000 0.5000 0.0000
Ga 0.0000 0.3255 0.8255
Pd 0.5000 0.2140 0.0087
Ga 0.0000 0.1745 0.3255
Pd 0.5000 0.5087 0.7140
Pd 0.5000 0.0000 0.5000
Pd 0.5000 0.2860 0.5087
Ga 0.0000 0.8255 0.6745
Pd 0.5000 0.9913 0.2140
Pd 0.5000 0.4913 0.2860
Pd 0.5000 0.7860 0.9913
Si 0.0000 0.6470 0.8530
Pd 0.5000 0.7140 0.4913
Zn 0.0000 0.5000 0.5000
Pd 0.5000 0.0087 0.7860
Si 0.0000 0.8530 0.3530
Si 0.0000 0.3530 0.1470
Ga 0.0000 0.6745 0.1745
Zn 0.0000 0.0000 0.0000

[4]
Material: LaAl2InOs
Method: DFT, PBE
State: optimized geometry

Summary:
Space group: P4/mmm, No. 123
Spin magnetization, μB per formula unit: 0.00
DFT formation energy, eV/f.u.: -0.6

Lattice parameters (Å, degrees): 4.8960 5.3646 4.8960 90.00 90.00 90.00
Sites, in units of the cell vectors:
Al 0.5000 0.0000 0.0000
Os 0.0000 0.0000 0.0000
Al 0.0000 0.0000 0.5000
La 0.0000 0.5000 0.0000
In 0.5000 0.5000 0.5000

[5]
Material: PmDyTl2
Method: DFT, PBE
State: optimized geometry

Summary:
Space group: Fm-3m, No. 225
Spin magnetization, μB per formula unit: 0.00
DFT formation energy, eV/f.u.: -1.4

Lattice parameters (Å, degrees): 5.4301 5.4299 5.4299 60.00 60.00 60.00
Sites, in units of the cell vectors:
Pm 0.2500 0.2500 0.2500
Dy 0.7500 0.7500 0.7500
Tl 0.0000 0.0000 0.0000
Tl 0.5000 0.5000 0.5000

[6]
Material: FeIrAu2
Method: DFT, PBE
State: optimized geometry

Summary:
Space group: P4/mmm, No. 123
Spin magnetization, μB per formula unit: 2.67
Relative energy among the computed polymorphs, meV per atom: 204
DFT formation energy, eV/f.u.: 1.3

Lattice parameters (Å, degrees): 2.7988 2.7988 8.0310 90.00 90.00 90.00
Sites, in units of the cell vectors:
Au 0.0000 0.0000 0.4890
Au 0.0000 0.0000 0.0110
Fe 0.5000 0.5000 0.2500
Ir 0.5000 0.5000 0.7500

[7]
Material: La4Tb2Nd2Y
Method: DFT, PBE
State: optimized geometry

Summary:
Space group: C2/m, No. 12
Spin magnetization, μB per formula unit: 0.00
DFT formation energy, eV/f.u.: 0.2

Lattice parameters (Å, degrees): 5.1992 8.2162 8.1909 107.68 90.00 108.45
Sites, in units of the cell vectors:
La 0.5543 0.1087 0.3341
Y 0.0000 0.0000 0.0000
Nd 0.6669 0.3338 0.0002
Tb 0.1112 0.2225 0.6693
Nd 0.3331 0.6662 0.9998
Tb 0.8888 0.7775 0.3307
La 0.4457 0.8913 0.6659
La 0.7769 0.5537 0.6664
La 0.2231 0.4463 0.3336

[8]
Material: Li3CuS2
Method: DFT, PBE
State: optimized geometry

Summary:
Space group: Ibam, No. 72
Spin magnetization, μB per formula unit: 0.00
E_form (uncorrected), kJ/mol of atoms: -100.77

Lattice parameters (Å, degrees): 5.7129 6.0730 7.0056 115.69 114.06 90.00
Sites, in units of the cell vectors:
Li 0.5000 0.2500 0.0000
S 0.4070 0.1336 0.2672
Cu 0.0000 0.5000 0.0000
Li 0.2344 0.9844 0.4688
Li 0.7656 0.0156 0.5312
Cu 0.0000 0.0000 0.0000
Li 0.5000 0.7500 0.0000
S 0.5930 0.8664 0.7328
Li 0.2344 0.4844 0.4688
Li 0.7656 0.5156 0.5312
S 0.8602 0.6336 0.2672
S 0.1398 0.3664 0.7328

[9]
Material: Tl2InHg12
Method: DFT, PBE
State: optimized geometry

Summary:
Space group: C2/m, No. 12
Spin magnetization, μB per formula unit: 0.00
DFT formation energy, eV/f.u.: -0.1

Lattice parameters (Å, degrees): 6.4494 6.4494 22.9683 95.53 95.53 61.09
Sites, in units of the cell vectors:
Hg 0.4109 0.4152 0.6637
Hg 0.6456 0.6460 0.5913
Hg 0.3540 0.3544 0.4087
Hg 0.0891 0.0848 0.3363
Tl 0.5747 0.0747 0.2688
Hg 0.7325 0.2325 0.9287
Hg 0.2168 0.2170 0.8709
Hg 0.6346 0.1346 0.5376
Hg 0.8654 0.3654 0.4624
Hg 0.7675 0.2675 0.0713
Hg 0.2832 0.2830 0.1291
Tl 0.9253 0.4253 0.7312
Hg 0.1323 0.6323 0.5365
Hg 0.8544 0.8540 0.4087
Tl 0.0665 0.5665 0.2683
Hg 0.0528 0.0498 0.1977
Hg 0.2330 0.7330 0.9292
Hg 0.1461 0.1456 0.5913
Hg 0.9502 0.9472 0.8023
Hg 0.4472 0.4502 0.8023
Hg 0.5848 0.5891 0.3363
In 0.9994 0.4994 0.9999
Hg 0.7170 0.7168 0.8709
Tl 0.4335 0.9335 0.7317
Hg 0.2670 0.7670 0.0708
Hg 0.7830 0.7832 0.1291
In 0.5006 0.0006 0.0001
Hg 0.3677 0.8677 0.4635
Hg 0.5498 0.5528 0.1977
Hg 0.9152 0.9109 0.6637

[10]
Material: NaCd5Hg4
Method: DFT, PBE
State: optimized geometry

Summary:
Space group: I4, No. 79
Spin magnetization, μB per formula unit: 0.00
Relative energy among the computed polymorphs, meV per atom: 31
DFT formation energy, eV/f.u.: -0.1

Lattice parameters (Å, degrees): 6.1021 7.2210 7.2210 79.72 65.01 65.01
Sites, in units of the cell vectors:
Cd 0.6539 0.2054 0.3816
Hg 0.7321 0.8114 0.6227
Hg 0.1662 0.1886 0.3773
Cd 0.2409 0.7946 0.6184
Cd 0.7139 0.0000 0.0000
Cd 0.0355 0.6184 0.2054
Hg 0.3548 0.3773 0.8114
Na 0.2102 0.0000 0.0000
Hg 0.5435 0.6227 0.1886
Cd 0.8593 0.3816 0.7946

[11]
Material: Tb5Dy3Er2
Method: DFT, PBE
State: optimized geometry

Summary:
Space group: C2/c, No. 15
Spin magnetization, μB per formula unit: 0.00
Relative energy among the computed polymorphs, meV per atom: 0
DFT formation energy, eV/f.u.: 2.0

Lattice parameters (Å, degrees): 9.5048 9.4633 11.0648 126.14 126.22 67.82
Sites, in units of the cell vectors:
Er 0.4626 0.7322 0.7421
Tb 0.7253 0.4753 0.9505
Tb 0.1494 0.3969 0.2584
Tb 0.2747 0.5247 0.0495
Tb 0.6090 0.8615 0.2584
Dy 0.9874 0.2193 0.7529
Tb 0.5290 0.2790 0.5580
Tb 0.4710 0.7210 0.4420
Er 0.2205 0.9901 0.2579
Dy 0.7696 0.0196 0.0392
Tb 0.9768 0.2268 0.4536
Er 0.5374 0.2678 0.2579
Dy 0.0126 0.7807 0.2471
Dy 0.7346 0.4664 0.2471
Tb 0.0232 0.7732 0.5464
Tb 0.8506 0.6031 0.7416
Tb 0.3910 0.1385 0.7416
Dy 0.2304 0.9804 0.9608
Dy 0.2654 0.5336 0.7529
Er 0.7795 0.0099 0.7421

[12]
Material: KSrBSe2
Method: DFT, PBE
State: optimized geometry

Summary:
Space group: P4/mmm, No. 123
Spin magnetization, μB per formula unit: 0.00
E_form (uncorrected), kJ/mol of atoms: -1.90

Lattice parameters (Å, degrees): 5.1033 4.7118 5.1033 90.00 90.00 90.00
Sites, in units of the cell vectors:
B 0.0000 0.0000 0.0000
K 0.0000 0.5000 0.0000
Sr 0.5000 0.5000 0.5000
Se 0.5000 0.0000 0.0000
Se 0.0000 0.0000 0.5000